The following is a PBE+U calculation of a relaxed PmTiCr2O6 crystal, from the Alexandria database.

Summary:
total energy = -82.9 eV/cell
size of the total moment = 0.700 μB per atom

Unit cell a=5.2676 b=5.3480 c=5.6340 alpha=64.02 beta=89.93 gamma=60.88
Element x y z (fractional)
Pm: 0.0000 0.0000 0.0000
Ti: 0.5317 0.9474 0.5656
Cr: 0.2278 0.5538 0.6455
Cr: 0.7301 0.5339 0.1798
O: 0.1800 0.0062 0.3972
O: 0.3614 0.0820 0.8403
O: 0.4651 0.3889 0.3982
O: 0.5722 0.4997 0.8599
O: 0.8263 0.7349 0.3895
O: 0.9363 0.6935 0.8613